Entry w
# Re2RuW

A relaxed structure of Re2RuW (GGA-PBEsol, Alexandria).

- magnetic moment (μB/f.u.) = 0.00
- V (Å³/atom) = 14.6

Cell and atoms, written as extended XYZ:
```
4
Lattice="-1.940 1.940 3.875 1.940 -1.940 3.875 1.940 1.940 -3.875" Properties=species:S:1:pos:R:3 pbc="T T T"
Re 0.000 0.000 0.000
Re 0.000 1.940 1.938
Ru 0.000 0.000 3.875
W 1.940 0.000 1.938
```

---

Entry x
# Re2RuW

A relaxed structure of Re2RuW (GGA-PBEsol, Alexandria).

- magnetic moment (μB/f.u.) = 0.00
- V (Å³/atom) = 14.6

Cell and atoms, written as extended XYZ:
```
4
Lattice="2.725 0.000 0.000 0.000 2.725 0.000 0.000 0.000 7.884" Properties=species:S:1:pos:R:3 pbc="T T T"
Re 0.000 0.000 1.879
Re 0.000 0.000 6.005
Ru 1.362 1.362 0.000
W 1.362 1.362 3.942
```

---

Most stable: entry w. Least stable: entry x.